Entry 1:
Computed, not measured: a geometry-optimized Ag7AsSe6 structure at the GGA-PBE level of DFT.

Cell lengths 10.8934, 10.8934, 10.8934 Å; angles 90.00, 90.00, 90.00 degrees
Atoms (fractional coordinates):
Ag 0.0113 0.2203 0.5129
Ag 0.0129 0.4887 0.7797
Ag 0.0730 0.6054 0.2266
Ag 0.1054 0.2734 0.9270
Ag 0.1578 0.8422 0.3422
Ag 0.2203 0.5129 0.0113
Ag 0.2266 0.0730 0.6054
Ag 0.2734 0.9270 0.1054
Ag 0.2797 0.4871 0.5113
Ag 0.3422 0.1578 0.8422
Ag 0.3946 0.7266 0.4270
Ag 0.4270 0.3946 0.7266
Ag 0.4871 0.5113 0.2797
Ag 0.4887 0.7797 0.0129
Ag 0.5113 0.2797 0.4871
Ag 0.5129 0.0113 0.2203
Ag 0.5730 0.8946 0.7734
Ag 0.6054 0.2266 0.0730
Ag 0.6578 0.6578 0.6578
Ag 0.7203 0.9871 0.9887
Ag 0.7266 0.4270 0.3946
Ag 0.7734 0.5730 0.8946
Ag 0.7797 0.0129 0.4887
Ag 0.8422 0.3422 0.1578
Ag 0.8946 0.7734 0.5730
Ag 0.9270 0.1054 0.2734
Ag 0.9871 0.9887 0.7203
Ag 0.9887 0.7203 0.9871
As 0.2501 0.2501 0.2501
As 0.2499 0.7499 0.7501
As 0.7501 0.2499 0.7499
As 0.7499 0.7501 0.2499
Se 0.0220 0.9780 0.4780
Se 0.1162 0.6382 0.6210
Se 0.1210 0.3838 0.3618
Se 0.1236 0.1236 0.1236
Se 0.1382 0.8790 0.8838
Se 0.2078 0.2922 0.7078
Se 0.2922 0.7078 0.2078
Se 0.3618 0.1210 0.3838
Se 0.3764 0.8764 0.6236
Se 0.3790 0.6162 0.8618
Se 0.3838 0.3618 0.1210
Se 0.4780 0.0220 0.9780
Se 0.5220 0.5220 0.5220
Se 0.6162 0.8618 0.3790
Se 0.6210 0.1162 0.6382
Se 0.6236 0.3764 0.8764
Se 0.6382 0.6210 0.1162
Se 0.7078 0.2078 0.2922
Se 0.7922 0.7922 0.7922
Se 0.8618 0.3790 0.6162
Se 0.8764 0.6236 0.3764
Se 0.8790 0.8838 0.1382
Se 0.8838 0.1382 0.8790
Se 0.9780 0.4780 0.0220

Output
Final energy, eV per atom: -3.3217
Mass density, g/cm3: 6.70
Space-group type: P2_13

=====

Entry 2:
Computed, not measured: a geometry-optimized Tb3Cu4Si2Ge2 structure at the GGA-PBE level of DFT.

Cell lengths 7.9857, 7.9857, 7.9857 Å; angles 149.78, 130.98, 58.67 degrees
Atoms (fractional coordinates):
Tb 0.0000 0.0000 0.0000
Tb 0.3697 0.8697 0.5000
Tb 0.6303 0.1303 0.5000
Cu 0.0164 0.3266 0.6898
Cu 0.3632 0.6734 0.6898
Cu 0.6368 0.3266 0.3102
Cu 0.9836 0.6734 0.3102
Si 0.2164 0.2164 0.0000
Si 0.7836 0.7836 0.0000
Ge 0.3077 0.5000 0.8077
Ge 0.6923 0.5000 0.1923

Output
Final energy, eV per atom: -5.0820
Mass density, g/cm3: 8.06
Energy above the lowest structure with this stoichiometry, meV/atom: 0
Space-group type: Immm

=====

Entry 3:
Computed, not measured: a geometry-optimized NaHoTe structure at the GGA-PBE level of DFT.

Cell lengths 5.1334, 5.1334, 5.1334 Å; angles 60.00, 60.00, 60.00 degrees
Atoms (fractional coordinates):
Na 0.0000 0.0000 0.0000
Ho 0.2500 0.2500 0.2500
Te 0.5000 0.5000 0.5000

Output
Final energy, eV per atom: -3.2496
Mass density, g/cm3: 5.48
Energy above the lowest structure with this stoichiometry, meV/atom: 171
Space-group type: F-43m

=====

Entry 4:
Computed, not measured: a geometry-optimized Sm2Dy2CI3Cl2 structure at the GGA-PBE level of DFT.

Cell lengths 9.0636, 9.0636, 8.7886 Å; angles 102.29, 102.29, 25.18 degrees
Atoms (fractional coordinates):
Sm 0.0037 0.0037 0.3088
Sm 0.9963 0.9963 0.6912
Dy 0.3607 0.3607 0.4346
Dy 0.6393 0.6393 0.5654
C 0.5000 0.5000 0.5000
I 0.1752 0.1752 0.8342
I 0.5000 0.5000 0.0000
I 0.8248 0.8248 0.1658
Cl 0.1716 0.1716 0.3681
Cl 0.8284 0.8284 0.6319

Output
Final energy, eV per atom: -4.9551
Mass density, g/cm3: 6.03
Energy above the lowest structure with this stoichiometry, meV/atom: 10
Space-group type: C2/m

=====

Entry 5:
Computed, not measured: a geometry-optimized ErMgBe structure at the GGA-PBE level of DFT.

Cell lengths 4.7582, 4.7582, 4.7582 Å; angles 60.00, 60.00, 60.00 degrees
Atoms (fractional coordinates):
Er 0.0000 0.0000 0.0000
Mg 0.2500 0.2500 0.2500
Be 0.7500 0.7500 0.7500

Output
Final energy, eV per atom: -2.3869
Mass density, g/cm3: 4.37
Energy above the lowest structure with this stoichiometry, meV/atom: 208
Space-group type: F-43m

=====

Entry 6:
Computed, not measured: a geometry-optimized TaCdPt structure at the GGA-PBE level of DFT.

Cell lengths 4.4254, 4.4254, 4.4254 Å; angles 60.00, 60.00, 60.00 degrees
Atoms (fractional coordinates):
Ta 0.0000 0.0000 0.0000
Cd 0.5000 0.5000 0.5000
Pt 0.7500 0.7500 0.7500

Output
Final energy, eV per atom: -6.3042
Mass density, g/cm3: 13.23
ΔH_f (0 K), eV/atom: -0.036
Space-group type: F-43m

=====

Entry 7:
Computed, not measured: a geometry-optimized Gd2Er5Cd structure at the GGA-PBE level of DFT.

Cell lengths 5.5417, 7.0394, 7.0394 Å; angles 59.93, 90.00, 90.00 degrees
Atoms (fractional coordinates):
Gd 0.0000 0.0000 0.0000
Gd 0.5000 0.3400 0.3400
Er 0.0000 0.0009 0.5052
Er 0.0000 0.5034 0.5034
Er 0.0000 0.5052 0.0009
Er 0.5000 0.3414 0.8280
Er 0.5000 0.8280 0.3414
Cd 0.5000 0.8342 0.8342

Output
Final energy, eV per atom: -4.1484
Mass density, g/cm3: 8.83
ΔH_f (0 K), eV/atom: -0.021
Space-group type: Amm2

=====

Entry 8:
Computed, not measured: a geometry-optimized KNiB4 structure at the GGA-PBE level of DFT.

Cell lengths 3.0471, 3.0471, 7.8613 Å; angles 90.00, 90.00, 120.00 degrees
Atoms (fractional coordinates):
K 0.0000 0.0000 0.0000
Ni 0.0000 0.0000 0.5000
B 0.3333 0.6667 0.3182
B 0.3333 0.6667 0.6818
B 0.6667 0.3333 0.3182
B 0.6667 0.3333 0.6818

Output
Final energy, eV per atom: -5.3632
Mass density, g/cm3: 3.70
Energy above the lowest structure with this stoichiometry, meV/atom: 0
Space-group type: P6/mmm